--- w ---
A relaxed KCuS3 crystal, computed with PBE.

Its calculated volume is 547 Å³/cell. Its crystal system is monoclinic. Its density of states at the Fermi level is 0.60 states/eV per atom. The value obtained for the magnetic moment is 0.0 μB per cell.

The space group is P2_1/c (No. 14) and the conventional cell measures 5.123, 9.422 and 11.338 Å, with angles of 90.00, 92.87 and 90.00 degrees. The distinct sites, in fractional coordinates, are K at (0.201, 0.211, 0.471), Cu at (0.357, 0.521, 0.731), S at (0.022, 0.113, 0.727), S at (0.273, 0.550, 0.183) and S at (0.325, 0.527, 0.535).


--- x ---
A relaxed KCuS3 crystal, computed with PBE.

Its calculated volume is 151 Å³/cell. Its crystal system is cubic. Its density of states at the Fermi level is 2.45 states/eV per atom. The value obtained for the magnetic moment is 0.0 μB per cell.

The space group is Pm-3m (No. 221) and the conventional cell measures 5.327, 5.327 and 5.327 Å, with angles of 90.00, 90.00 and 90.00 degrees. The distinct sites, in fractional coordinates, are K at (0.000, 0.000, 0.000), Cu at (0.500, 0.500, 0.500) and S at (0.000, 0.000, 0.500).


--- y ---
A relaxed KCuS3 crystal, computed with PBE.

Its calculated volume is 102 Å³/cell. Its crystal system is cubic. Its density of states at the Fermi level is 0.99 states/eV per atom. The value obtained for the magnetic moment is 0.0 μB per cell.

The space group is Pm-3m (No. 221) and the conventional cell measures 4.669, 4.669 and 4.669 Å, with angles of 90.00, 90.00 and 90.00 degrees. The distinct sites, in fractional coordinates, are K at (0.000, 0.000, 0.000), Cu at (0.500, 0.500, 0.500) and S at (0.000, 0.500, 0.500).


--- z ---
A relaxed KCuS3 crystal, computed with PBE.

Its calculated volume is 110 Å³/cell. Its crystal system is orthorhombic. Its density of states at the Fermi level is 0.64 states/eV per atom. The value obtained for the magnetic moment is 0.0 μB per cell.

The space group is Pmm2 (No. 25) and the conventional cell measures 3.442, 4.168 and 7.654 Å, with angles of 90.00, 90.00 and 90.00 degrees. The distinct sites, in fractional coordinates, are K at (0.000, 0.000, 0.000), Cu at (0.000, 0.500, 0.601), S at (0.000, 0.000, 0.411), S at (0.500, 0.500, 0.385) and S at (0.500, 0.500, 0.798).


Energetically preferred structure: w | next structure: +23.7 kJ/mol of atoms


--- w ---
A relaxed K3Cu4S4 crystal, computed with PBE.

Its calculated volume is 424 Å³/cell. Its crystal system is orthorhombic. Its density of states at the Fermi level is 0.26 states/eV per atom. The value obtained for the magnetic moment is 0.0 μB per cell.

The space group is Immm (No. 71) and the conventional cell measures 4.826, 6.461 and 13.585 Å, with angles of 90.00, 90.00 and 90.00 degrees. The distinct sites, in fractional coordinates, are K at (0.000, 0.000, 0.000), K at (0.000, 0.500, 0.118), Cu at (0.000, 0.296, 0.335), S at (0.000, 0.000, 0.229) and S at (0.000, 0.221, 0.500).


--- x ---
A relaxed K3Cu4S4 crystal, computed with PBE.

Its calculated volume is 476 Å³/cell. Its crystal system is orthorhombic. Its density of states at the Fermi level is 0.41 states/eV per atom. The value obtained for the magnetic moment is 0.0 μB per cell.

The space group is Pbam (No. 55) and the conventional cell measures 7.929, 15.750 and 3.814 Å, with angles of 90.00, 90.00 and 90.00 degrees. The distinct sites, in fractional coordinates, are K at (0.000, 0.000, 0.000), K at (0.023, 0.234, 0.500), Cu at (0.073, 0.418, 0.000), Cu at (0.154, 0.557, 0.500), S at (0.198, 0.638, 0.000) and S at (0.230, 0.414, 0.500).


Energetically preferred structure: x | next structure: +28.0 kJ/mol of atoms


--- w ---
A relaxed KCu3Sb2 crystal, computed with PBE.

Its calculated volume is 592 Å³/cell. Its crystal system is monoclinic. Its density of states at the Fermi level is 0.33 states/eV per atom. The value obtained for the magnetic moment is 0.0 μB per cell.

The space group is C2/m (No. 12) and the conventional cell measures 19.319, 4.222 and 7.909 Å, with angles of 90.00, 113.44 and 90.00 degrees. The distinct sites, in fractional coordinates, are K at (0.224, 0.000, 0.241), Cu at (0.033, 0.000, 0.753), Cu at (0.058, 0.500, 0.305), Cu at (0.067, 0.500, 0.632), Sb at (0.073, 0.500, 0.979) and Sb at (0.119, 0.000, 0.523).


--- x ---
A relaxed KCu3Sb2 crystal, computed with PBE.

Its calculated volume is 536 Å³/cell. Its crystal system is monoclinic. Its density of states at the Fermi level is 0.38 states/eV per atom. The value obtained for the magnetic moment is 0.0 μB per cell.

The space group is C2/m (No. 12) and the conventional cell measures 16.302, 4.261 and 8.287 Å, with angles of 90.00, 111.51 and 90.00 degrees. The distinct sites, in fractional coordinates, are K at (0.155, 0.000, 0.062), Cu at (0.028, 0.000, 0.380), Cu at (0.078, 0.500, 0.615), Cu at (0.192, 0.500, 0.465), Sb at (0.030, 0.500, 0.206) and Sb at (0.182, 0.000, 0.661).


Energetically preferred structure: x | next structure: +2.3 kJ/mol of atoms


--- w ---
A relaxed KCuSbTe2 crystal, computed with PBE.

Its calculated volume is 152 Å³/cell. Its crystal system is tetragonal. Its density of states at the Fermi level is 0.57 states/eV per atom. The value obtained for the magnetic moment is 0.0 μB per cell.

The space group is P4/mmm (No. 123) and the conventional cell measures 5.527, 5.527 and 4.987 Å, with angles of 90.00, 90.00 and 90.00 degrees. The distinct sites, in fractional coordinates, are K at (0.000, 0.000, 0.000), Cu at (0.500, 0.500, 0.500), Sb at (0.500, 0.500, 0.000) and Te at (0.000, 0.500, 0.500).


--- x ---
A relaxed KCuSbTe2 crystal, computed with PBE.

Its calculated volume is 354 Å³/cell. Its crystal system is monoclinic. Its density of states at the Fermi level is 0.45 states/eV per atom. The value obtained for the magnetic moment is 0.0 μB per cell.

The space group is P2/c (No. 13) and the conventional cell measures 7.840, 5.617 and 8.104 Å, with angles of 90.00, 97.23 and 90.00 degrees. The distinct sites, in fractional coordinates, are K at (0.000, 0.211, 0.250), Cu at (0.500, 0.000, 0.000), Sb at (0.500, 0.334, 0.250) and Te at (0.267, 0.289, 0.913).


--- y ---
A relaxed KCuSbTe2 crystal, computed with PBE.

Its calculated volume is 210 Å³/cell. Its crystal system is tetragonal. Its density of states at the Fermi level is 1.47 states/eV per atom. The value obtained for the magnetic moment is 0.0 μB per cell.

The space group is P4/mmm (No. 123) and the conventional cell measures 5.974, 5.974 and 5.886 Å, with angles of 90.00, 90.00 and 90.00 degrees. The distinct sites, in fractional coordinates, are K at (0.000, 0.000, 0.000), Cu at (0.500, 0.500, 0.500), Sb at (0.000, 0.000, 0.500) and Te at (0.000, 0.500, 0.000).


Energetically preferred structure: x | next structure: +18.1 kJ/mol of atoms